Entry 1:
# MnZnAg2, relaxed, DFT GGA-PBEsol
data_MnZnAg2
_cell_length_a 4.7459
_cell_length_b 2.8291
_cell_length_c 4.7933
_cell_angle_alpha 90.00
_cell_angle_beta 107.95
_cell_angle_gamma 90.00
_space_group_name_H-M_alt 'P 1 2/m 1'
_space_group_IT_number 10
loop_
_space_group_symop_operation_xyz
'x,y,z'
'-x,-y,-z'
'-x,y,-z'
'x,-y,z'
loop_
_atom_site_label
_atom_site_type_symbol
_atom_site_fract_x
_atom_site_fract_y
_atom_site_fract_z
_atom_site_occupancy
Mn1 Mn 0.0000 0.0000 0.0000 1
Zn1 Zn 0.0000 0.5000 0.5000 1
Ag1 Ag 0.5000 0.0000 0.5000 1
Ag2 Ag 0.5000 0.5000 0.0000 1
# Raw total energy: -17.17 eV/cell
# Energy of formation from the pure elements: 0.80 eV per formula unit

---

Entry 2:
# LiCoPO4, relaxed, DFT GGA-PBEsol
data_LiCoPO4
_cell_length_a 5.2106
_cell_length_b 5.2106
_cell_length_c 12.4250
_cell_angle_alpha 90.00
_cell_angle_beta 90.00
_cell_angle_gamma 120.00
_space_group_name_H-M_alt 'P 62 2 2'
_space_group_IT_number 180
_space_group_name_Hall 'P 62 2 (0 0 4)'
loop_
_atom_site_label
_atom_site_type_symbol
_atom_site_fract_x
_atom_site_fract_y
_atom_site_fract_z
_atom_site_occupancy
Li1 Li 0.0000 0.0000 0.0000 1
Co1 Co 0.0000 0.5000 0.1667 1
P1 P 0.0000 0.5000 0.6667 1
O1 O 0.1815 0.4002 0.7356 1
# E above lowest polymorph: 76 meV per atom
# Uncorrected formation energy: -1.7756 eV/atom
# Raw total energy: -146.77 eV/cell

---

Entry 3:
# FeAsN2Cl, relaxed, DFT GGA-PBEsol
data_FeAsN2Cl
_cell_length_a 3.6323
_cell_length_b 3.6323
_cell_length_c 4.7116
_cell_angle_alpha 90.00
_cell_angle_beta 90.00
_cell_angle_gamma 90.00
_space_group_name_H-M_alt 'P 4/m m m'
_space_group_IT_number 123
_space_group_name_Hall '-P 4 2'
loop_
_atom_site_label
_atom_site_type_symbol
_atom_site_fract_x
_atom_site_fract_y
_atom_site_fract_z
_atom_site_occupancy
Fe1 Fe 0.0000 0.0000 0.0000 1
As1 As 0.5000 0.5000 0.5000 1
N1 N 0.0000 0.5000 0.0000 1
Cl1 Cl 0.0000 0.0000 0.5000 1
# Uncorrected formation energy: 0.9284 eV/atom
# Raw total energy: -28.49 eV/cell

---

Entry 4:
# GeHF2, relaxed, DFT GGA-PBEsol
data_GeHF2
_cell_length_a 5.5209
_cell_length_b 5.5209
_cell_length_c 5.5209
_cell_angle_alpha 90.00
_cell_angle_beta 90.00
_cell_angle_gamma 90.00
_space_group_name_H-M_alt 'F m -3 m'
_space_group_IT_number 225
_space_group_name_Hall '-F 4 2 3'
loop_
_atom_site_label
_atom_site_type_symbol
_atom_site_fract_x
_atom_site_fract_y
_atom_site_fract_z
_atom_site_occupancy
Ge1 Ge 0.0000 0.0000 0.0000 1
H1 H 0.0000 0.0000 0.5000 1
F1 F 0.2500 0.2500 0.2500 1
# E above lowest polymorph: 515 meV per atom
# Raw total energy: -61.70 eV/cell

---

Entry 5:
# Dy3Al, relaxed, DFT GGA-PBEsol
data_Dy3Al
_cell_length_a 6.7187
_cell_length_b 6.7187
_cell_length_c 5.2006
_cell_angle_alpha 90.00
_cell_angle_beta 90.00
_cell_angle_gamma 120.00
_space_group_name_H-M_alt 'P 63/m m c'
_space_group_IT_number 194
_space_group_name_Hall '-P 6c 2c'
loop_
_atom_site_label
_atom_site_type_symbol
_atom_site_fract_x
_atom_site_fract_y
_atom_site_fract_z
_atom_site_occupancy
Dy1 Dy 0.1751 0.3502 0.2500 1
Al1 Al 0.3333 0.6667 0.7500 1
# Raw total energy: -39.77 eV/cell
# Energy of formation from the pure elements: -0.86 eV per formula unit

---

Entry 6:
# PPt2C, relaxed, DFT GGA-PBEsol
data_PPt2C
_cell_length_a 4.7693
_cell_length_b 4.7693
_cell_length_c 10.7489
_cell_angle_alpha 90.00
_cell_angle_beta 90.00
_cell_angle_gamma 90.00
_space_group_name_H-M_alt 'I -4 2 d'
_space_group_IT_number 122
_space_group_name_Hall 'I -4 2bw'
loop_
_atom_site_label
_atom_site_type_symbol
_atom_site_fract_x
_atom_site_fract_y
_atom_site_fract_z
_atom_site_occupancy
P1 P 0.0000 0.0000 0.0000 1
Pt1 Pt 0.1902 0.2500 0.6250 1
C1 C 0.0000 0.0000 0.5000 1
# Raw total energy: -113.14 eV/cell
# Energy of formation from the pure elements: 1.08 eV per formula unit

---

Entry 7:
# GeTePbI2, relaxed, DFT GGA-PBEsol
data_GeTePbI2
_cell_length_a 5.9238
_cell_length_b 5.9238
_cell_length_c 5.8864
_cell_angle_alpha 90.00
_cell_angle_beta 90.00
_cell_angle_gamma 90.00
_space_group_name_H-M_alt 'P 4/m m m'
_space_group_IT_number 123
_space_group_name_Hall '-P 4 2'
loop_
_atom_site_label
_atom_site_type_symbol
_atom_site_fract_x
_atom_site_fract_y
_atom_site_fract_z
_atom_site_occupancy
Ge1 Ge 0.0000 0.0000 0.0000 1
Te1 Te 0.5000 0.5000 0.0000 1
Pb1 Pb 0.5000 0.5000 0.5000 1
I1 I 0.0000 0.5000 0.5000 1
# Uncorrected formation energy: 0.4963 eV/atom
# Raw total energy: -13.52 eV/cell

---

Entry 8:
# Be2AlOs2, relaxed, DFT GGA-PBEsol
data_Be2AlOs2
_cell_length_a 6.0358
_cell_length_b 6.0358
_cell_length_c 3.0191
_cell_angle_alpha 90.00
_cell_angle_beta 90.00
_cell_angle_gamma 90.00
_space_group_name_H-M_alt 'P 4/m b m'
_space_group_IT_number 127
_space_group_name_Hall '-P 4 2ab'
loop_
_atom_site_label
_atom_site_type_symbol
_atom_site_fract_x
_atom_site_fract_y
_atom_site_fract_z
_atom_site_occupancy
Be1 Be 0.1208 0.3792 0.0000 1
Al1 Al 0.0000 0.0000 0.0000 1
Os1 Os 0.1734 0.6734 0.5000 1
# Raw total energy: -76.64 eV/cell
# Energy of formation from the pure elements: -1.80 eV per formula unit

---

Entry 9:
# SrMn2Au, relaxed, DFT GGA-PBEsol
data_SrMn2Au
_cell_length_a 4.1915
_cell_length_b 4.1915
_cell_length_c 4.4018
_cell_angle_alpha 90.00
_cell_angle_beta 90.00
_cell_angle_gamma 90.00
_space_group_name_H-M_alt 'P 4/m m m'
_space_group_IT_number 123
_space_group_name_Hall '-P 4 2'
loop_
_atom_site_label
_atom_site_type_symbol
_atom_site_fract_x
_atom_site_fract_y
_atom_site_fract_z
_atom_site_occupancy
Sr1 Sr 0.0000 0.0000 0.0000 1
Mn1 Mn 0.0000 0.5000 0.5000 1
Au1 Au 0.5000 0.5000 0.0000 1
# Raw total energy: -23.14 eV/cell
# Energy of formation from the pure elements: 2.15 eV per formula unit

---

Entry 10:
# K2AgAs3Se6, relaxed, DFT GGA-PBEsol
data_K2AgAs3Se6
_cell_length_a 12.3458
_cell_length_b 7.4728
_cell_length_c 17.5850
_cell_angle_alpha 90.00
_cell_angle_beta 126.36
_cell_angle_gamma 90.00
_space_group_name_H-M_alt 'P 1 21/c 1'
_space_group_IT_number 14
loop_
_space_group_symop_operation_xyz
'x,y,z'
'-x,-y,-z'
'-x,y+1/2,-z+1/2'
'x,-y+1/2,z+1/2'
loop_
_atom_site_label
_atom_site_type_symbol
_atom_site_fract_x
_atom_site_fract_y
_atom_site_fract_z
_atom_site_occupancy
K1 K 0.0866 0.1195 0.2407 1
K2 K 0.2886 0.6270 0.6153 1
Ag1 Ag 0.0291 0.0025 0.4281 1
As1 As 0.2791 0.0830 0.6526 1
As2 As 0.3320 0.5681 0.3664 1
As3 As 0.3873 0.1752 0.5005 1
Se1 Se 0.0887 0.2254 0.0523 1
Se2 Se 0.1481 0.6919 0.2223 1
Se3 Se 0.2143 0.0888 0.9206 1
Se4 Se 0.2545 0.5853 0.9568 1
Se5 Se 0.3830 0.2042 0.8109 1
Se6 Se 0.4615 0.2373 0.6614 1
# Uncorrected formation energy: -0.4284 eV/atom
# Raw total energy: -196.56 eV/cell

---

Entry 11:
# Na2Ge2Se5, relaxed, DFT GGA-PBEsol
data_Na2Ge2Se5
_cell_length_a 13.8864
_cell_length_b 6.1220
_cell_length_c 11.0886
_cell_angle_alpha 90.00
_cell_angle_beta 90.00
_cell_angle_gamma 90.00
_space_group_name_H-M_alt 'P n a 21'
_space_group_IT_number 33
loop_
_space_group_symop_operation_xyz
'x,y,z'
'-x,-y,z+1/2'
'-x+1/2,y+1/2,z+1/2'
'x+1/2,-y+1/2,z'
loop_
_atom_site_label
_atom_site_type_symbol
_atom_site_fract_x
_atom_site_fract_y
_atom_site_fract_z
_atom_site_occupancy
Na1 Na 0.0361 0.0021 0.0000 1
Na2 Na 0.0657 0.4910 0.7511 1
Ge1 Ge 0.1543 0.5382 0.4515 1
Ge2 Ge 0.2079 0.0300 0.6428 1
Se1 Se 0.0054 0.5029 0.0009 1
Se2 Se 0.0612 0.9919 0.7349 1
Se3 Se 0.1589 0.3840 0.2533 1
Se4 Se 0.2145 0.9035 0.4374 1
Se5 Se 0.2398 0.9006 0.1061 1
# E above lowest polymorph: 0 meV per atom
# Uncorrected formation energy: -0.5789 eV/atom
# Raw total energy: -148.55 eV/cell

---

Entry 12:
# Tl2IF, relaxed, DFT GGA-PBEsol
data_Tl2IF
_cell_length_a 7.9701
_cell_length_b 7.9701
_cell_length_c 7.6662
_cell_angle_alpha 90.00
_cell_angle_beta 90.00
_cell_angle_gamma 90.00
_space_group_name_H-M_alt 'I -4 2 d'
_space_group_IT_number 122
_space_group_name_Hall 'I -4 2bw'
loop_
_atom_site_label
_atom_site_type_symbol
_atom_site_fract_x
_atom_site_fract_y
_atom_site_fract_z
_atom_site_occupancy
Tl1 Tl 0.1630 0.7500 0.1250 1
I1 I 0.0000 0.0000 0.5000 1
F1 F 0.0000 0.0000 0.0000 1
# E above lowest polymorph: 0 meV per atom
# Uncorrected formation energy: -1.0681 eV/atom
# Raw total energy: -52.91 eV/cell

---

Spin magnetization? In order: 0.955, 0.429, 0.001, 0.250, 0.000, 0.000, 0.079, 0.000, 1.804, 0.000, 0.000, 0.000 μB/atom.